1.
Compound: Ca2FeS
Source: the Alexandria database
Functional: PBE-GGA
Structure: relaxed

Output
The formation energy (no corrections) is -200 meV/atom. The density of states at the Fermi level comes out at 2.223 states/eV per atom. The total magnetization comes out at 4.520 μB per cell.

Unit cell a=7.6166 b=7.6166 c=6.5265 alpha=54.30 beta=54.30 gamma=90.00
Last column: nearest neighbours and their distance in Å.
Fractional positions:
S1 0.2500 0.7500 0.5000  4 Ca 2.70
Fe1 0.7500 0.2500 0.5000  4 Ca 3.00
Ca1 0.3750 0.4045 0.7500  2 S 2.70, 2 Fe 3.00
S2 0.5000 0.5000 0.0000  4 Ca 2.70
Ca2 0.1545 0.6250 0.2500  2 S 2.70, 2 Fe 3.00
Ca3 0.8750 0.8455 0.7500  2 S 2.70, 2 Fe 3.00
Fe2 0.0000 0.0000 0.0000  4 Ca 3.00
Ca4 0.5955 0.1250 0.2500  2 S 2.70, 2 Fe 3.00

---

2.
Compound: CaFe2S4
Source: the Alexandria database
Functional: PBE-GGA
Structure: relaxed

Output
The formation energy (no corrections) is -610 meV/atom. The density of states at the Fermi level comes out at 0.890 states/eV per atom. The total magnetization comes out at 3.999 μB per cell.

Unit cell a=7.3721 b=7.3721 c=7.3721 alpha=125.50 beta=125.50 gamma=80.71
Last column: nearest neighbours and their distance in Å.
Fractional positions:
S1 0.6665 0.3949 0.7283  3 Fe 2.33-2.35
S2 0.6051 0.3335 0.2717  3 Fe 2.33-2.35
S3 0.6882 0.9165 0.7717  3 Fe 2.33-2.35
Ca1 0.2500 0.7500 0.5000  4 S 2.62
S4 0.1449 0.9165 0.2283  3 Fe 2.33-2.35
Fe1 0.3750 0.1250 0.2500  6 S 2.33-2.35
S5 0.0835 0.8551 0.7717  3 Fe 2.33-2.35
Fe2 0.8750 0.6250 0.7500  6 S 2.33-2.35
Fe3 0.8750 0.1250 0.7500  6 S 2.33-2.35
Ca2 0.5000 0.5000 0.0000  4 S 2.62
S6 0.0835 0.3118 0.2283  3 Fe 2.33-2.35
S7 0.0618 0.3335 0.7283  3 Fe 2.33-2.35
Fe4 0.8750 0.1250 0.2500  6 S 2.33-2.35
S8 0.6665 0.9382 0.2717  3 Fe 2.33-2.35

---

3.
Compound: CaTiFeS2
Source: the Alexandria database
Functional: PBE-GGA
Structure: relaxed

Output
The formation energy (no corrections) is 240 meV/atom. The density of states at the Fermi level comes out at 1.519 states/eV per atom. The total magnetization comes out at 4.261 μB per cell.

Unit cell a=4.6148 b=4.5881 c=4.6148 alpha=90.00 beta=90.00 gamma=90.00
Last column: nearest neighbours and their distance in Å.
Fractional positions:
S1 0.0000 0.0000 0.5000  2 Fe 2.31
Fe1 0.0000 0.0000 0.0000  2 Ca 2.29, 4 S 2.31
S2 0.5000 0.0000 0.0000  2 Fe 2.31
Ti1 0.5000 0.5000 0.5000  8 S 3.25, 4 Ca 3.26
Ca1 0.0000 0.5000 0.0000  2 Fe 2.29

---

4.
Compound: CaVFeS2
Source: the Alexandria database
Functional: PBE-GGA
Structure: relaxed

Output
The formation energy (no corrections) is 358 meV/atom. The density of states at the Fermi level comes out at 1.057 states/eV per atom. The total magnetization comes out at 5.087 μB per cell.

Unit cell a=4.5366 b=5.7009 c=4.5366 alpha=90.00 beta=90.00 gamma=90.00
Last column: nearest neighbours and their distance in Å.
Fractional positions:
S1 0.0000 0.0000 0.5000  2 V 2.27
S2 0.5000 0.0000 0.0000  2 V 2.27
Ca1 0.0000 0.5000 0.0000  2 V 2.85
V1 0.0000 0.0000 0.0000  4 S 2.27
Fe1 0.5000 0.5000 0.5000  4 Ca 3.21

---

5.
Compound: CaFeSb2
Source: the Alexandria database
Functional: PBE-GGA
Structure: relaxed

Output
The formation energy (no corrections) is -1 meV/atom. The density of states at the Fermi level comes out at 1.374 states/eV per atom. The total magnetization comes out at 2.966 μB per cell.

Unit cell a=5.9205 b=5.9205 c=5.9205 alpha=137.65 beta=137.65 gamma=61.44
Last column: nearest neighbours and their distance in Å.
Fractional positions:
Ca1 0.5000 0.5000 0.0000  8 Sb 3.02-3.32, 4 Fe 3.32
Sb1 0.0000 0.0000 0.0000  4 Ca 3.02, 4 Fe 3.32, 4 Sb 3.32
Sb2 0.2500 0.7500 0.5000  4 Fe 3.02, 4 Ca 3.32, 4 Sb 3.32
Fe1 0.7500 0.2500 0.5000  8 Sb 3.02-3.32, 4 Ca 3.32

---

6.
Compound: CaFe3Sb
Source: the Alexandria database
Functional: PBE-GGA
Structure: relaxed

Output
The formation energy (no corrections) is 774 meV/atom. The density of states at the Fermi level comes out at 2.499 states/eV per atom. The total magnetization comes out at 7.102 μB per cell.

Unit cell a=4.8266 b=4.8266 c=4.8266 alpha=90.00 beta=90.00 gamma=90.00
Last column: nearest neighbours and their distance in Å.
Fractional positions:
Sb1 0.0000 0.0000 0.0000  6 Fe 2.41
Fe1 0.0000 0.5000 0.0000  2 Sb 2.41
Fe2 0.5000 0.0000 0.0000  2 Sb 2.41
Ca1 0.5000 0.5000 0.5000  12 Fe 3.41
Fe3 0.0000 0.0000 0.5000  2 Sb 2.41

---

7.
Compound: CaFeSb2
Source: the Alexandria database
Functional: PBE-GGA
Structure: relaxed

Output
The formation energy (no corrections) is -111 meV/atom. The density of states at the Fermi level comes out at 0.988 states/eV per atom. The total magnetization comes out at 2.275 μB per cell.

Unit cell a=5.2882 b=5.2882 c=5.2882 alpha=131.67 beta=110.17 gamma=89.44
Last column: nearest neighbours and their distance in Å.
Fractional positions:
Sb1 0.9500 0.9500 0.0000  2 Fe 2.64
Ca1 0.2500 0.7500 0.5000  8 Sb 3.13-3.38
Fe1 0.7500 0.2500 0.5000  4 Sb 2.64
Sb2 0.5500 0.5500 0.0000  2 Fe 2.64

---

8.
Compound: CaFeSb4
Source: the Alexandria database
Functional: PBE-GGA
Structure: relaxed

Output
The formation energy (no corrections) is 344 meV/atom. The density of states at the Fermi level comes out at 1.018 states/eV per atom. The total magnetization comes out at 3.078 μB per cell.

Unit cell a=6.2154 b=6.2154 c=6.2154 alpha=60.00 beta=60.00 gamma=60.00
Last column: nearest neighbours and their distance in Å.
Fractional positions:
Sb1 0.8767 0.3744 0.3744  6 Sb 3.09-3.12
Sb2 0.3744 0.8767 0.3744  6 Sb 3.09-3.12
Ca1 0.7500 0.7500 0.7500  12 Sb 3.65, 4 Fe 3.81
Sb3 0.3744 0.3744 0.3744  6 Sb 3.09-3.12
Sb4 0.3744 0.3744 0.8767  6 Sb 3.09-3.12
Fe1 0.0000 0.0000 0.0000  12 Sb 3.64, 4 Ca 3.81

---

9.
Compound: CaFeSb2
Source: the Alexandria database
Functional: PBE-GGA
Structure: relaxed

Output
The formation energy (no corrections) is -151 meV/atom. The density of states at the Fermi level comes out at 0.960 states/eV per atom. The total magnetization comes out at 1.497 μB per cell.

Unit cell a=7.8516 b=7.8516 c=7.8516 alpha=155.51 beta=151.83 gamma=37.67
Last column: nearest neighbours and their distance in Å.
Fractional positions:
Fe1 0.7910 0.2910 0.5000  6 Sb 2.60-2.71
Ca1 0.5580 0.5580 0.0000  6 Sb 3.14-3.22, 2 Ca 3.33
Sb1 0.2261 0.7261 0.5000  4 Fe 2.71
Sb2 0.9249 0.9249 0.0000  2 Fe 2.60

---

10.
Compound: CaFeSb2
Source: the Alexandria database
Functional: PBE-GGA
Structure: relaxed

Output
The formation energy (no corrections) is -72 meV/atom. The density of states at the Fermi level comes out at 1.031 states/eV per atom. The total magnetization comes out at 2.368 μB per cell.

Unit cell a=5.0821 b=4.1243 c=5.0727 alpha=90.01 beta=90.00 gamma=90.00
Last column: nearest neighbours and their distance in Å.
Fractional positions:
Sb1 0.5000 0.0000 0.2942  2 Fe 2.47-2.60
Sb2 0.0000 0.0005 0.9542  2 Fe 2.69
Ca1 0.0000 0.5004 0.4696  8 Sb 3.21-3.39
Fe1 0.5000 0.9992 0.7820  4 Sb 2.47-2.69

---

11.
Compound: CaFeSb2
Source: the Alexandria database
Functional: PBE-GGA
Structure: relaxed

Output
The formation energy (no corrections) is -37 meV/atom. The density of states at the Fermi level comes out at 0.690 states/eV per atom. The total magnetization comes out at 2.348 μB per cell.

Unit cell a=3.6784 b=3.6774 c=7.1041 alpha=90.00 beta=90.00 gamma=90.00
Last column: nearest neighbours and their distance in Å.
Fractional positions:
Sb1 0.0000 0.0000 0.9367  4 Fe 2.69
Ca1 0.0000 0.0000 0.4973  5 Sb 3.12-3.24
Fe1 0.5000 0.5000 0.8413  5 Sb 2.69-2.72
Sb2 0.5000 0.5000 0.2247  1 Fe 2.72

---

12.
Compound: Ca4FeSb
Source: the Alexandria database
Functional: PBE-GGA
Structure: relaxed

Output
The formation energy (no corrections) is 545 meV/atom. The density of states at the Fermi level comes out at 1.204 states/eV per atom. The total magnetization comes out at 2.538 μB per cell.

Unit cell a=6.4964 b=6.4964 c=6.4964 alpha=60.00 beta=60.00 gamma=60.00
Last column: nearest neighbours and their distance in Å.
Fractional positions:
Ca1 0.3751 0.3751 0.3751  6 Ca 3.25
Sb1 0.0000 0.0000 0.0000  12 Ca 3.81, 4 Fe 3.98
Ca2 0.3751 0.8747 0.3751  6 Ca 3.25
Fe1 0.7500 0.7500 0.7500  12 Ca 3.81, 4 Sb 3.98
Ca3 0.8747 0.3751 0.3751  6 Ca 3.25
Ca4 0.3751 0.3751 0.8747  6 Ca 3.25

---

13.
Compound: CaFe3Sb
Source: the Alexandria database
Functional: PBE-GGA
Structure: relaxed

Output
The formation energy (no corrections) is 1714 meV/atom. The density of states at the Fermi level comes out at 0.936 states/eV per atom. The total magnetization comes out at 7.485 μB per cell.

Unit cell a=4.6291 b=4.6291 c=4.6291 alpha=90.00 beta=90.00 gamma=90.00
Last column: nearest neighbours and their distance in Å.
Fractional positions:
Fe1 0.0000 0.0000 0.5000  2 Ca 2.31
Fe2 0.0000 0.5000 0.0000  2 Ca 2.31
Ca1 0.0000 0.0000 0.0000  6 Fe 2.31
Fe3 0.5000 0.0000 0.0000  2 Ca 2.31
Sb1 0.5000 0.5000 0.5000  12 Fe 3.27